Model i:
A plane-wave DFT calculation with SCAN was carried out for a PBEsol-optimized structure of TlOsSe2.

Computed properties:
Crystal system: orthorhombic
Space group: Cmmm (65)

Lattice parameters (Å, degrees): 4.838 4.838 3.356 90.00 90.00 108.03
Fractional coordinates of all 4 atoms:
Tl: 0.000 0.000 0.000
Os: 0.500 0.500 0.000
Se: 0.000 0.500 0.500
Se: 0.500 0.000 0.500

Model ii:
A plane-wave DFT calculation with SCAN was carried out for a PBEsol-optimized structure of TlOsSe2.

Computed properties:
Crystal system: tetragonal
Space group: P4mm (99)

Lattice parameters (Å, degrees): 3.012 3.012 9.103 90.00 90.00 90.00
Fractional coordinates of all 4 atoms:
Tl: 0.000 0.000 0.000
Os: 0.500 0.500 0.261
Se: 0.000 0.000 0.400
Se: 0.500 0.500 0.721

Model iii:
A plane-wave DFT calculation with SCAN was carried out for a PBEsol-optimized structure of TlOsSe2.

Computed properties:
Crystal system: orthorhombic
Space group: Amm2 (38)

Lattice parameters (Å, degrees): 3.715 6.185 6.185 42.32 90.00 90.00
Fractional coordinates of all 4 atoms:
Tl: 0.000 0.000 0.000
Os: 0.500 0.796 0.796
Se: 0.000 0.670 0.670
Se: 0.500 0.374 0.374

It is model iii that is most stable; the runner-up trails by 268 meV/atom.

Model i:
A plane-wave DFT calculation with SCAN was carried out for a PBEsol-optimized structure of YOsSe2.

Computed properties:
Crystal system: tetragonal
Space group: P4mm (99)

Lattice parameters (Å, degrees): 3.307 3.307 7.678 90.00 90.00 90.00
Fractional coordinates of all 4 atoms:
Y: 0.000 0.000 0.000
Os: 0.500 0.500 0.293
Se: 0.000 0.000 0.425
Se: 0.500 0.500 0.806

Model ii:
A plane-wave DFT calculation with SCAN was carried out for a PBEsol-optimized structure of YOsSe2.

Computed properties:
Crystal system: cubic
Space group: F-43m (216)

Lattice parameters (Å, degrees): 4.754 4.754 4.754 60.00 60.00 60.00
Fractional coordinates of all 4 atoms:
Y: 0.000 0.000 0.000
Os: 0.250 0.250 0.250
Se: 0.500 0.500 0.500
Se: 0.750 0.750 0.750

Model iii:
A plane-wave DFT calculation with SCAN was carried out for a PBEsol-optimized structure of YOsSe2.

Computed properties:
Crystal system: tetragonal
Space group: P4/mmm (123)

Lattice parameters (Å, degrees): 4.596 4.596 3.315 90.00 90.00 90.00
Fractional coordinates of all 4 atoms:
Y: 0.000 0.000 0.000
Os: 0.500 0.500 0.000
Se: 0.000 0.500 0.500
Se: 0.500 0.000 0.500

It is model i that is most stable; the runner-up trails by 6 meV/atom.

Model i:
A plane-wave DFT calculation with SCAN was carried out for a PBEsol-optimized structure of Y2OsSe.

Computed properties:
Crystal system: orthorhombic
Space group: Immm (71)

Lattice parameters (Å, degrees): 4.887 4.887 4.887 120.12 119.92 89.96
Fractional coordinates of all 4 atoms:
Y: 0.250 0.250 0.000
Y: 0.750 0.750 0.000
Os: 0.500 0.000 0.500
Se: 0.000 0.500 0.500

Model ii:
A plane-wave DFT calculation with SCAN was carried out for a PBEsol-optimized structure of Y2OsSe.

Computed properties:
Crystal system: tetragonal
Space group: P4mm (99)

Lattice parameters (Å, degrees): 4.010 4.010 5.710 90.00 90.00 90.00
Fractional coordinates of all 4 atoms:
Y: 0.000 0.000 0.000
Y: 0.500 0.500 0.430
Os: 0.000 0.000 0.456
Se: 0.500 0.500 0.930

It is model ii that is most stable; the runner-up trails by 257 meV/atom.

Model i:
A plane-wave DFT calculation with SCAN was carried out for a PBEsol-optimized structure of SiTeOs2.

Computed properties:
Crystal system: tetragonal
Space group: I4/mmm (139)

Lattice parameters (Å, degrees): 4.480 4.480 4.480 122.47 122.47 85.78
Fractional coordinates of all 4 atoms:
Si: 0.000 0.000 0.000
Te: 0.500 0.500 0.000
Os: 0.250 0.750 0.500
Os: 0.750 0.250 0.500

Model ii:
A plane-wave DFT calculation with SCAN was carried out for a PBEsol-optimized structure of SiTeOs2.

Computed properties:
Crystal system: tetragonal
Space group: P4/mmm (123)

Lattice parameters (Å, degrees): 4.357 4.357 3.228 90.00 90.00 90.00
Fractional coordinates of all 4 atoms:
Si: 0.000 0.000 0.000
Te: 0.500 0.500 0.000
Os: 0.000 0.500 0.500
Os: 0.500 0.000 0.500

Model iii:
A plane-wave DFT calculation with SCAN was carried out for a PBEsol-optimized structure of SiTeOs2.

Computed properties:
Crystal system: orthorhombic
Space group: Immm (71)

Lattice parameters (Å, degrees): 5.307 5.307 5.307 147.71 126.12 64.23
Fractional coordinates of all 4 atoms:
Si: 0.000 0.000 0.000
Te: 0.500 0.500 0.000
Os: 0.211 0.711 0.500
Os: 0.789 0.289 0.500

It is model i that is most stable; the runner-up trails by 9 meV/atom.

Model i:
A plane-wave DFT calculation with SCAN was carried out for a PBEsol-optimized structure of TlSiOs2.

Computed properties:
Crystal system: orthorhombic
Space group: Immm (71)

Lattice parameters (Å, degrees): 5.288 5.288 5.288 148.70 124.67 64.96
Fractional coordinates of all 4 atoms:
Tl: 0.000 0.000 0.000
Si: 0.500 0.500 0.000
Os: 0.283 0.783 0.500
Os: 0.717 0.217 0.500

Model ii:
A plane-wave DFT calculation with SCAN was carried out for a PBEsol-optimized structure of TlSiOs2.

Computed properties:
Crystal system: tetragonal
Space group: P4mm (99)

Lattice parameters (Å, degrees): 2.834 2.834 8.336 90.00 90.00 90.00
Fractional coordinates of all 4 atoms:
Tl: 0.000 0.000 0.000
Si: 0.500 0.500 0.685
Os: 0.000 0.000 0.482
Os: 0.500 0.500 0.280

It is model ii that is most stable; the runner-up trails by 137 meV/atom.

Model i:
A plane-wave DFT calculation with SCAN was carried out for a PBEsol-optimized structure of Tl2SiOs.

Computed properties:
Crystal system: orthorhombic
Space group: Cmmm (65)

Lattice parameters (Å, degrees): 2.996 2.996 9.825 90.00 90.00 117.55
Fractional coordinates of all 4 atoms:
Tl: 0.000 0.000 0.236
Tl: 0.000 0.000 0.764
Si: 0.500 0.500 0.500
Os: 0.500 0.500 0.000

Model ii:
A plane-wave DFT calculation with SCAN was carried out for a PBEsol-optimized structure of Tl2SiOs.

Computed properties:
Crystal system: monoclinic
Space group: C2/m (12)

Lattice parameters (Å, degrees): 5.587 5.587 3.336 105.76 105.76 119.31
Fractional coordinates of all 4 atoms:
Tl: 0.000 0.500 0.000
Tl: 0.500 0.000 0.000
Si: 0.000 0.000 0.500
Os: 0.500 0.500 0.500

Model iii:
A plane-wave DFT calculation with SCAN was carried out for a PBEsol-optimized structure of Tl2SiOs.

Computed properties:
Crystal system: tetragonal
Space group: I-4m2 (119)

Lattice parameters (Å, degrees): 5.058 5.058 5.058 129.60 129.60 74.05
Fractional coordinates of all 4 atoms:
Tl: 0.000 0.000 0.000
Tl: 0.750 0.250 0.500
Si: 0.250 0.750 0.500
Os: 0.500 0.500 0.000

It is model ii that is most stable; the runner-up trails by 7 meV/atom.